Record 1
Computed, not measured: Y2NbCS after structural relaxation at the PBE level of DFT. Values from VASP.

Properties
Its space group is P4/mmm (123). As for the offset from the most stable computed form: 3.52 eV/f.u. The calculation puts the uncorrected formation energy at 1205.5 meV/atom. The total magnetization is 1.9 μB per formula unit.

```
&SYSTEM
  ibrav = 0, nat = 5, ntyp = 4
/
ATOMIC_SPECIES
Y 88.91 Y.upf
Nb 92.91 Nb.upf
C 12.01 C.upf
S 32.06 S.upf
ATOMIC_POSITIONS angstrom
Y 0.0000 2.7293 0.0000
Y 2.7293 0.0000 0.0000
Nb 0.0000 0.0000 0.0000
C 2.7293 2.7293 2.2846
S 0.0000 0.0000 2.2846
CELL_PARAMETERS angstrom
5.4586 0.0000 0.0000
0.0000 5.4586 0.0000
0.0000 0.0000 4.5693
```

=====

Record 2
Computed, not measured: Sr2TlCu after structural relaxation at the PBE level of DFT. Values from VASP.

Properties
Its space group is F-43m (216). The formation enthalpy at 0 K is 32 meV/atom. The total magnetization is 0.0 μB per formula unit.

```
&SYSTEM
  ibrav = 0, nat = 4, ntyp = 3
/
ATOMIC_SPECIES
Sr 87.62 Sr.upf
Tl 204.38 Tl.upf
Cu 63.55 Cu.upf
ATOMIC_POSITIONS angstrom
Sr 0.0000 0.0000 0.0000
Sr 1.9032 1.9032 1.9032
Tl 5.7095 5.7095 5.7095
Cu 3.8064 3.8064 3.8064
CELL_PARAMETERS angstrom
0.0000 3.8064 3.8064
3.8064 0.0000 3.8064
3.8064 3.8064 0.0000
```

=====

Record 3
Computed, not measured: Pm3AsSe after structural relaxation at the PBE level of DFT. Values from VASP.

Properties
Its space group is P-6 (174). The calculation puts the uncorrected formation energy at -1034.3 meV/atom. The total magnetization is 0.0 μB per formula unit.

```
&SYSTEM
  ibrav = 0, nat = 5, ntyp = 3
/
ATOMIC_SPECIES
Pm 145.00 Pm.upf
As 74.92 As.upf
Se 78.96 Se.upf
ATOMIC_POSITIONS angstrom
Pm 4.5726 3.9179 0.0000
Pm 1.1559 2.0011 0.0000
Pm 4.5243 0.0005 0.0000
As 0.0000 3.9463 1.8987
Se 0.0000 0.0000 1.8987
CELL_PARAMETERS angstrom
6.8352 0.0000 0.0000
-3.4176 5.9194 0.0000
0.0000 0.0000 3.7973
```

=====

Record 4
Computed, not measured: Cs3UAg2Se6 after structural relaxation at the PBE level of DFT. Values from VASP.

Properties
Its space group is C2/m (12). The calculation puts the uncorrected formation energy at -798.8 meV/atom. The total magnetization is 0.0 μB per formula unit.

```
&SYSTEM
  ibrav = 0, nat = 12, ntyp = 4
/
ATOMIC_SPECIES
Cs 132.91 Cs.upf
U 238.03 U.upf
Ag 107.87 Ag.upf
Se 78.96 Se.upf
ATOMIC_POSITIONS angstrom
Cs 0.0000 0.0000 0.0000
Cs 3.4212 2.8253 0.0000
Cs 3.4212 -2.8253 0.0000
U 2.1477 0.0000 4.0012
Ag 2.1477 6.4522 4.0012
Ag 2.1477 -6.4522 4.0012
Se 0.8954 2.0277 2.6468
Se 0.2231 0.0000 5.9112
Se 0.8954 -2.0277 2.6468
Se 3.4000 2.0277 5.3556
Se 4.0722 0.0000 2.0911
Se 3.4000 -2.0277 5.3556
CELL_PARAMETERS angstrom
3.4212 -7.9295 0.0000
3.4212 7.9295 0.0000
-2.5470 0.0000 8.0024
```

=====

Record 5
Computed, not measured: HAuI3 after structural relaxation at the PBE level of DFT. Values from VASP.

Properties
Its space group is P-1 (2). As for the offset from the most stable computed form: 0.00 eV/f.u. The total magnetization is 0.0 μB per formula unit.

```
&SYSTEM
  ibrav = 0, nat = 10, ntyp = 3
/
ATOMIC_SPECIES
H 1.01 H.upf
Au 196.97 Au.upf
I 126.90 I.upf
ATOMIC_POSITIONS angstrom
H 1.6314 2.1046 1.6227
H 10.6469 5.4694 5.6108
Au 4.4776 3.7387 2.3826
Au 7.8007 3.8353 4.8509
I 2.7316 5.7485 1.8732
I 3.0586 1.9470 0.7031
I 5.7784 5.5617 4.1815
I 6.4999 2.0123 3.0520
I 9.2197 5.6270 6.5303
I 9.5467 1.8255 5.3603
CELL_PARAMETERS angstrom
6.7401 0.0000 0.0000
2.4159 7.1188 0.0000
3.1223 0.4552 7.2335
```

=====

Record 6
Computed, not measured: CdRe2RuPb after structural relaxation at the PBE level of DFT. Values from VASP.

Properties
Its space group is P4/mmm (123). As for the offset from the most stable computed form: 0.00 eV/f.u. The formation enthalpy at 0 K is 1698 meV/atom. The total magnetization is 1.2 μB per formula unit.

```
&SYSTEM
  ibrav = 0, nat = 5, ntyp = 4
/
ATOMIC_SPECIES
Cd 112.41 Cd.upf
Re 186.21 Re.upf
Ru 101.07 Ru.upf
Pb 207.20 Pb.upf
ATOMIC_POSITIONS angstrom
Cd 0.0000 0.0000 0.0000
Re 0.0000 2.3848 2.5585
Re 2.3848 0.0000 2.5585
Ru 2.3848 2.3848 2.5585
Pb 2.3848 2.3848 0.0000
CELL_PARAMETERS angstrom
4.7696 0.0000 0.0000
0.0000 4.7696 0.0000
0.0000 0.0000 5.1169
```

=====

Record 7
Computed, not measured: YErMnHg after structural relaxation at the PBE level of DFT. Values from VASP.

Properties
Its space group is F-43m (216). The formation enthalpy at 0 K is -87 meV/atom. The total magnetization is 3.1 μB per formula unit.

```
&SYSTEM
  ibrav = 0, nat = 4, ntyp = 4
/
ATOMIC_SPECIES
Y 88.91 Y.upf
Er 167.26 Er.upf
Mn 54.94 Mn.upf
Hg 200.59 Hg.upf
ATOMIC_POSITIONS angstrom
Y 0.0000 0.0000 0.0000
Er 3.6300 3.6300 3.6300
Mn 5.4450 5.4450 5.4450
Hg 1.8150 1.8150 1.8150
CELL_PARAMETERS angstrom
0.0000 3.6300 3.6300
3.6300 0.0000 3.6300
3.6300 3.6300 0.0000
```

=====

Record 8
Computed, not measured: La2Sm4Y after structural relaxation at the PBE level of DFT. Values from VASP.

Properties
Its space group is Imma (74). As for the offset from the most stable computed form: 1.31 eV/f.u. The formation enthalpy at 0 K is 219 meV/atom. The total magnetization is 0.0 μB per formula unit.

```
&SYSTEM
  ibrav = 0, nat = 14, ntyp = 3
/
ATOMIC_SPECIES
La 138.91 La.upf
Sm 150.36 Sm.upf
Y 88.91 Y.upf
ATOMIC_POSITIONS angstrom
La 0.0000 0.0000 0.0000
La 0.0000 2.9138 2.7665
La 0.0000 5.8275 0.0000
La 3.4402 2.9138 3.4218
Sm 3.4402 -0.1086 1.7385
Sm 1.9012 2.9138 0.1294
Sm 4.9792 2.9138 0.1294
Sm 3.4402 5.7190 -1.7385
Sm 0.0000 0.1086 7.9268
Sm -1.5390 2.9138 6.0589
Sm 1.5390 2.9138 6.0589
Sm 0.0000 5.9361 4.4497
Y 1.7201 2.9138 -3.0941
Y 1.7201 -2.9138 3.0941
CELL_PARAMETERS angstrom
-3.4402 5.8275 6.1883
3.4402 -5.8275 6.1883
3.4402 5.8275 -6.1883
```

=====

Record 9
Computed, not measured: ZnNiPd6 after structural relaxation at the PBE level of DFT. Values from VASP.

Properties
Its space group is P4/mmm (123). As for the offset from the most stable computed form: 0.00 eV/f.u. The formation enthalpy at 0 K is -137 meV/atom. The total magnetization is 0.7 μB per formula unit.

```
&SYSTEM
  ibrav = 0, nat = 8, ntyp = 3
/
ATOMIC_SPECIES
Zn 65.41 Zn.upf
Ni 58.69 Ni.upf
Pd 106.42 Pd.upf
ATOMIC_POSITIONS angstrom
Zn 0.0000 0.0000 0.0000
Ni 0.0000 0.0000 3.8899
Pd 0.0000 1.9468 1.9712
Pd 0.0000 1.9468 5.8085
Pd 1.9468 0.0000 1.9712
Pd 1.9468 0.0000 5.8085
Pd 1.9468 1.9468 0.0000
Pd 1.9468 1.9468 3.8899
CELL_PARAMETERS angstrom
3.8937 0.0000 0.0000
0.0000 3.8937 0.0000
0.0000 0.0000 7.7797
```

=====

Record 10
Computed, not measured: K2CrI4 after structural relaxation at the PBE level of DFT. Values from VASP.

Properties
Its space group is P2_1/m (11). As for the offset from the most stable computed form: 0.27 eV/f.u. The calculation puts the uncorrected formation energy at -901.0 meV/atom. The total magnetization is 4.0 μB per formula unit.

```
&SYSTEM
  ibrav = 0, nat = 14, ntyp = 3
/
ATOMIC_SPECIES
K 39.10 K.upf
Cr 52.00 Cr.upf
I 126.90 I.upf
ATOMIC_POSITIONS angstrom
K 1.6115 2.0107 0.5276
K 0.2649 2.0107 5.3328
K 4.5750 6.0322 4.1247
K 3.2285 6.0322 8.9298
Cr -0.6479 6.0322 7.6294
Cr 5.4879 2.0107 1.8281
I -2.3176 0.0153 7.0349
I -2.3176 4.0062 7.0349
I 2.9916 6.0322 0.8220
I 1.3829 6.0322 5.8460
I 3.4571 2.0107 3.6114
I 1.8484 2.0107 8.6354
I 7.1575 4.0367 2.4225
I 7.1575 8.0276 2.4225
CELL_PARAMETERS angstrom
7.9813 0.0000 0.0000
0.0000 8.0429 0.0000
-3.1414 0.0000 9.4575
```

=====

Record 11
Computed, not measured: Pm3Pr8Y3 after structural relaxation at the PBE level of DFT. Values from VASP.

Properties
Its space group is Immm (71). The formation enthalpy at 0 K is 102 meV/atom. The total magnetization is 0.0 μB per formula unit.

```
&SYSTEM
  ibrav = 0, nat = 14, ntyp = 3
/
ATOMIC_SPECIES
Pm 145.00 Pm.upf
Pr 140.91 Pr.upf
Y 88.91 Y.upf
ATOMIC_POSITIONS angstrom
Pm 0.0000 0.0000 0.0000
Pm 0.0000 3.3532 0.0000
Pm 0.0000 7.6753 0.0000
Pr 2.8778 1.7978 -1.6181
Pr 2.8778 3.7823 -4.2675
Pr 2.8778 1.7978 1.6181
Pr 0.0000 1.7319 3.4922
Pr 2.8778 3.7823 4.2675
Pr 0.0000 3.7165 6.1416
Pr 0.0000 1.7319 12.0271
Pr 0.0000 3.7165 9.3777
Y 2.8778 0.0000 4.9542
Y 0.0000 0.0000 7.7596
Y 0.0000 5.5142 2.8054
CELL_PARAMETERS angstrom
-2.8778 5.5142 7.7596
2.8778 -5.5142 7.7596
2.8778 5.5142 -7.7596
```

=====

Record 12
Computed, not measured: RbUSi2S8 after structural relaxation at the PBE level of DFT. Values from VASP.

Properties
Its space group is R-3 (148). The calculation puts the uncorrected formation energy at -713.7 meV/atom. The total magnetization is 1.0 μB per formula unit.

```
&SYSTEM
  ibrav = 0, nat = 12, ntyp = 4
/
ATOMIC_SPECIES
Rb 85.47 Rb.upf
U 238.03 U.upf
Si 28.09 Si.upf
S 32.06 S.upf
ATOMIC_POSITIONS angstrom
Rb 0.0000 0.0000 0.0000
U 0.0000 0.0000 13.9963
Si 0.0000 0.0000 6.8390
Si 0.0000 0.0000 21.1536
S -2.1076 -0.0517 12.5191
S -1.0090 -1.8511 15.4734
S 0.0000 0.0000 8.9163
S 1.0986 -1.7994 12.5191
S -1.0986 1.7994 15.4734
S 0.0000 0.0000 19.0763
S 1.0090 1.8511 12.5191
S 2.1076 0.0517 15.4735
CELL_PARAMETERS angstrom
3.1384 1.8120 9.3309
-3.1384 1.8120 9.3309
0.0000 -3.6240 9.3309
```

=====

Calculated calculated volume, 136.1, 110.3, 153.7, 434.2, 347.1, 116.4, 95.7, 496.3, 117.9, 607.1, 492.5, 318.4 Å³/cell (same order as the records).